Material: NdSmTm4
Method: DFT, PBE
State: relaxed

Computed properties:
Spin magnetization, Bohr magnetons per cell: 0.00
Crystal system: monoclinic
Polymorph energy (0 for the lowest one), meV per atom: 0
Total DFT energy (no corrections), eV/f.u.: -27.4
Calculated formation energy, eV per atom: -0.007
Symmetry: C2/m, No. 12

abc: 17.2034 3.5663 6.1846
angles: 90.00 96.76 90.00
Last column: nearest neighbours and their distance in Å.
Positions (direct):
Nd: 0.0000 0.0000 0.0000  6 Tm 3.54-3.55, 2 Nd 3.57, 4 Sm 3.57
Nd: 0.5000 0.5000 0.0000  6 Tm 3.54-3.55, 2 Nd 3.57, 4 Sm 3.57
Sm: 0.0000 0.5000 0.5000  6 Tm 3.54-3.55, 2 Sm 3.57, 4 Nd 3.57
Sm: 0.5000 0.0000 0.5000  6 Tm 3.54-3.55, 2 Sm 3.57, 4 Nd 3.57
Tm: 0.1690 0.0000 0.3896  9 Tm 3.45-3.57, 2 Sm 3.54, 1 Nd 3.55
Tm: 0.1688 0.5000 0.8894  9 Tm 3.45-3.57, 2 Nd 3.54, 1 Sm 3.55
Tm: 0.3312 0.0000 0.1106  9 Tm 3.45-3.57, 2 Nd 3.54, 1 Sm 3.55
Tm: 0.3310 0.5000 0.6104  9 Tm 3.45-3.57, 2 Sm 3.54, 1 Nd 3.55
Tm: 0.6688 0.0000 0.8894  9 Tm 3.45-3.57, 2 Nd 3.54, 1 Sm 3.55
Tm: 0.6690 0.5000 0.3896  9 Tm 3.45-3.57, 2 Sm 3.54, 1 Nd 3.55
Tm: 0.8310 0.0000 0.6104  9 Tm 3.45-3.57, 2 Sm 3.54, 1 Nd 3.55
Tm: 0.8312 0.5000 0.1106  9 Tm 3.45-3.57, 2 Nd 3.54, 1 Sm 3.55